(1)
Compound: Zr6Mn2Os
Source: the Alexandria database
Functional: GGA-PBE
Structure: relaxed

The space group is Immm (No. 71) and the conventional cell measures 8.786, 8.832 and 9.011 Å, with angles of 90.00, 90.00 and 90.00 degrees. The distinct sites, in fractional coordinates, are Zr at (0.000, 0.175, 0.204), Zr at (0.183, 0.500, 0.233), Zr at (0.192, 0.250, 0.500), Mn at (0.000, 0.386, 0.000), Mn at (0.150, 0.000, 0.000), Os at (0.000, 0.000, 0.500) and Os at (0.000, 0.500, 0.500).


(2)
Compound: ZnRuN2
Source: the Alexandria database
Functional: GGA-PBE
Structure: relaxed

The uncorrected formation energy is 0.51 eV/atom.

The space group is R-3m (No. 166, hexagonal axes) and the conventional cell measures 3.0154, 3.0154 and 18.1199 Å, with angles of 90.00, 90.00 and 120.00 degrees. The distinct sites, in fractional coordinates, are Zn at (0.0000, 0.0000, 0.0000), Ru at (0.0000, 0.0000, 0.5000) and N at (0.0000, 0.0000, 0.1040).


(3)
Compound: Ce2Ge3Ir5
Source: the Alexandria database
Functional: GGA-PBE
Structure: relaxed

The value obtained for the distance to the lowest polymorph of the same formula is 0 meV per atom.

The space group is Cmc2_1 (No. 36) and the conventional cell measures 4.409, 23.384 and 6.855 Å, with angles of 90.00, 90.00 and 90.00 degrees. The distinct sites, in fractional coordinates, are Ce at (0.000, 0.024, 0.000), Ce at (0.000, 0.322, 0.961), Ge at (0.000, 0.100, 0.349), Ge at (0.000, 0.273, 0.373), Ge at (0.000, 0.443, 0.192), Ir at (0.000, 0.115, 0.727), Ir at (0.000, 0.182, 0.095), Ir at (0.000, 0.233, 0.702), Ir at (0.000, 0.376, 0.485) and Ir at (0.000, 0.451, 0.803).


| no. | total DFT energy (no corrections) (Ha/atom) |
| --- | --- |
| 1 | -0.335 |
| 2 | -0.231 |
| 3 | -0.278 |